A plane-wave DFT calculation with PBE was carried out for Sr3Li2Zn after structural relaxation.

abc: 4.7725 13.5087 13.5893
angles: 90.00 90.00 90.00
Closest atoms and distances in Å follow each position.
Element x y z (fractional)
Sr  0.7500  0.8710  0.4483  1 Zn 3.42, 4 Li 3.49-3.65
Sr  0.7500  0.5556  0.6150  3 Zn 3.38-3.45, 5 Li 3.44-3.54
Sr  0.2500  0.7936  0.7206  2 Zn 3.37, 4 Li 3.43-3.69
Sr  0.2500  0.3710  0.0517  1 Zn 3.42, 4 Li 3.49-3.65
Sr  0.2500  0.1290  0.5517  1 Zn 3.42, 4 Li 3.49-3.65
Sr  0.2500  0.7064  0.2206  2 Zn 3.37, 4 Li 3.43-3.69
Sr  0.7500  0.6290  0.9483  1 Zn 3.42, 4 Li 3.49-3.65
Sr  0.7500  0.9444  0.1150  3 Zn 3.38-3.45, 5 Li 3.44-3.54
Sr  0.7500  0.2936  0.7794  2 Zn 3.37, 4 Li 3.43-3.69
Sr  0.2500  0.0556  0.8850  3 Zn 3.38-3.45, 5 Li 3.44-3.54
Sr  0.7500  0.2064  0.2794  2 Zn 3.37, 4 Li 3.43-3.69
Sr  0.2500  0.4444  0.3850  3 Zn 3.38-3.45, 5 Li 3.44-3.54
Zn  0.2500  0.1283  0.1229  3 Li 2.81-2.88
Zn  0.7500  0.8717  0.8771  3 Li 2.81-2.88
Zn  0.7500  0.6283  0.3771  3 Li 2.81-2.88
Zn  0.2500  0.3717  0.6229  3 Li 2.81-2.88
Li  0.2500  0.4931  0.7969  1 Zn 2.88
Li  0.7500  0.5069  0.2031  1 Zn 2.88
Li  0.7500  0.1840  0.0283  2 Zn 2.81
Li  0.2500  0.6840  0.4717  2 Zn 2.81
Li  0.2500  0.0069  0.2969  1 Zn 2.88
Li  0.7500  0.9931  0.7031  1 Zn 2.88
Li  0.2500  0.8160  0.9717  2 Zn 2.81
Li  0.7500  0.3160  0.5283  2 Zn 2.81

Summary:
Formation energy from the elements ... -0.0514 eV per atom
N(E_F) ... 0.810 states/eV/atom
Total energy ... -1.743 eV/atom
Spin magnetization ... 0.0 μB/cell